1.
A plane-wave DFT calculation with PBE was carried out for a relaxed structure of Cs2CdAgH6.

The energy comes out at -2.54 eV/atom. For the calculated volume, the calculation gives 174 Å³/cell.

a b c (Å): 5.915 5.915 6.490
angles (deg): 62.89 62.89 90.00
Positions (direct):
1 H 0.179 0.179 0.641
2 H 0.821 0.821 0.359
3 H 0.284 0.716 0.000
4 H 0.716 0.716 0.000
5 H 0.716 0.284 0.000
6 H 0.284 0.284 0.000
7 Cs 0.750 0.250 0.500
8 Cs 0.250 0.750 0.500
9 Cd 0.000 0.000 0.000
10 Ag 0.500 0.500 0.000

---

2.
A plane-wave DFT calculation with PBE was carried out for a relaxed structure of Cs2Cd2Ag2Hg.

The energy comes out at -1.41 eV/atom. For the calculated volume, the calculation gives 255 Å³/cell. For the energy relative to the elements, the calculation gives -0.05 eV per atom.

a b c (Å): 5.282 8.212 6.764
angles (deg): 86.73 67.02 71.24
Positions (direct):
1 Ag 0.226 0.629 0.920
2 Ag 0.774 0.371 0.080
3 Cs 0.573 0.201 0.654
4 Cs 0.427 0.799 0.346
5 Hg 0.000 0.000 0.000
6 Cd 0.839 0.591 0.730
7 Cd 0.161 0.409 0.270

---

3.
A plane-wave DFT calculation with PBE was carried out for a relaxed structure of CsCdAgHg2.

The energy comes out at -1.11 eV/atom. For the calculated volume, the calculation gives 174 Å³/cell. For the energy relative to the elements, the calculation gives -0.07 eV per atom. Its energy above the most stable polymorph in this dataset is 0.000 eV per atom.

a b c (Å): 5.632 5.632 5.494
angles (deg): 90.00 90.00 90.00
Positions (direct):
1 Cd 0.000 0.000 0.500
2 Hg 0.500 0.000 0.000
3 Hg 0.000 0.500 0.000
4 Ag 0.000 0.000 0.000
5 Cs 0.500 0.500 0.500

---

4.
A plane-wave DFT calculation with PBE was carried out for a relaxed structure of CsCdAgHg2.

The energy comes out at -1.08 eV/atom. For the calculated volume, the calculation gives 187 Å³/cell. For the energy relative to the elements, the calculation gives -0.03 eV per atom. Its energy above the most stable polymorph in this dataset is 0.034 eV per atom.

a b c (Å): 5.819 5.819 5.517
angles (deg): 90.00 90.00 90.00
Positions (direct):
1 Ag 0.000 0.000 0.500
2 Hg 0.000 0.500 0.000
3 Hg 0.500 0.000 0.000
4 Cs 0.500 0.500 0.500
5 Cd 0.000 0.000 0.000

---

5.
A plane-wave DFT calculation with PBE was carried out for a relaxed structure of Cs3CdAg2I6.

The energy comes out at -2.36 eV/atom. For the calculated volume, the calculation gives 692 Å³/cell.

a b c (Å): 9.079 9.079 9.693
angles (deg): 90.00 90.00 120.00
Positions (direct):
1 I 0.161 0.839 0.299
2 I 0.839 0.161 0.701
3 I 0.677 0.839 0.299
4 I 0.161 0.323 0.299
5 I 0.839 0.677 0.701
6 I 0.323 0.161 0.701
7 Ag 0.667 0.333 0.760
8 Ag 0.333 0.667 0.240
9 Cd 0.000 0.000 0.500
10 Cs 0.333 0.667 0.628
11 Cs 0.000 0.000 0.000
12 Cs 0.667 0.333 0.372

---

6.
A plane-wave DFT calculation with PBE was carried out for a relaxed structure of CsCd2AgI6.

The energy comes out at -2.20 eV/atom. For the calculated volume, the calculation gives 956 Å³/cell.

a b c (Å): 8.427 11.936 11.936
angles (deg): 78.09 63.19 63.19
Positions (direct):
1 Cd 0.628 0.178 0.370
2 Cd 0.872 0.630 0.822
3 Cd 0.128 0.370 0.178
4 Cd 0.372 0.822 0.630
5 I 0.260 0.610 0.665
6 I 0.389 0.916 0.390
7 I 0.611 0.084 0.610
8 I 0.599 0.818 0.998
9 I 0.240 0.335 0.390
10 I 0.889 0.390 0.916
11 I 0.901 0.002 0.182
12 I 0.111 0.610 0.084
13 I 0.401 0.182 0.002
14 I 0.099 0.998 0.818
15 I 0.740 0.390 0.335
16 I 0.760 0.665 0.610
17 Cs 0.750 0.313 0.687
18 Cs 0.250 0.687 0.313
19 Ag 0.750 0.832 0.168
20 Ag 0.250 0.168 0.832

---

7.
A plane-wave DFT calculation with PBE was carried out for a relaxed structure of Cs2Cd12InAg3.

The energy comes out at -1.19 eV/atom. For the calculated volume, the calculation gives 635 Å³/cell. For the energy relative to the elements, the calculation gives 0.15 eV per atom.

a b c (Å): 9.528 9.528 9.528
angles (deg): 61.70 61.70 61.70
Positions (direct):
1 Ag 0.000 0.000 0.500
2 Ag 0.000 0.500 0.000
3 Ag 0.500 0.000 0.000
4 Cd 0.666 0.666 0.997
5 Cd 0.334 0.003 0.334
6 Cd 0.636 0.119 0.119
7 Cd 0.997 0.666 0.666
8 Cd 0.881 0.364 0.881
9 Cd 0.334 0.334 0.003
10 Cd 0.003 0.334 0.334
11 Cd 0.119 0.636 0.119
12 Cd 0.119 0.119 0.636
13 Cd 0.881 0.881 0.364
14 Cd 0.666 0.997 0.666
15 Cd 0.364 0.881 0.881
16 Cs 0.405 0.405 0.405
17 Cs 0.595 0.595 0.595
18 In 0.000 0.000 0.000

---

8.
A plane-wave DFT calculation with PBE was carried out for a relaxed structure of CsCd2InAg.

The energy comes out at -1.60 eV/atom. For the calculated volume, the calculation gives 169 Å³/cell. For the energy relative to the elements, the calculation gives 0.05 eV per atom. Its energy above the most stable polymorph in this dataset is 0.000 eV per atom.

a b c (Å): 5.552 5.552 5.492
angles (deg): 90.00 90.00 90.00
Positions (direct):
1 Cs 0.500 0.500 0.500
2 In 0.000 0.000 0.500
3 Cd 0.000 0.500 0.000
4 Cd 0.500 0.000 0.000
5 Ag 0.000 0.000 0.000